(1)
# LaPmTeSe | Alexandria via LeMat-Bulk | PBE | relaxed
data_LaPmTeSe
_cell_length_a 4.375
_cell_length_b 4.375
_cell_length_c 21.690
_cell_angle_alpha 90.00
_cell_angle_beta 90.00
_cell_angle_gamma 120.00
_symmetry_space_group_name_H-M 'P 1'
_symmetry_Int_Tables_number 1
_symmetry_space_group_name_Hall 'P 1'
loop_
_atom_site_label
_atom_site_type_symbol
_atom_site_fract_x
_atom_site_fract_y
_atom_site_fract_z
_atom_site_occupancy
La1 La 0.000 0.000 0.000 1
La2 La 0.333 0.667 0.667 1
La3 La 0.667 0.333 0.333 1
Pm1 Pm 0.000 0.000 0.520 1
Pm2 Pm 0.333 0.667 0.187 1
Pm3 Pm 0.667 0.333 0.853 1
Te1 Te 0.000 0.000 0.762 1
Te2 Te 0.333 0.667 0.429 1
Te3 Te 0.667 0.333 0.096 1
Se1 Se 0.000 0.000 0.257 1
Se2 Se 0.333 0.667 0.924 1
Se3 Se 0.667 0.333 0.590 1
# **SG**: R3m, No. 160
# **Energy relative to the elements, uncorrected**: -6.9 eV/f.u.

(2)
# YPu3Se4 | Alexandria via LeMat-Bulk | PBE | relaxed
data_YPu3Se4
_cell_length_a 5.842
_cell_length_b 5.842
_cell_length_c 5.842
_cell_angle_alpha 90.00
_cell_angle_beta 90.00
_cell_angle_gamma 90.00
_symmetry_space_group_name_H-M 'P 1'
_symmetry_Int_Tables_number 1
_symmetry_space_group_name_Hall 'P 1'
loop_
_atom_site_label
_atom_site_type_symbol
_atom_site_fract_x
_atom_site_fract_y
_atom_site_fract_z
_atom_site_occupancy
Y1 Y 0.000 0.000 0.000 1
Pu1 Pu 0.000 0.500 0.500 1
Pu2 Pu 0.500 0.000 0.500 1
Pu3 Pu 0.500 0.500 0.000 1
Se1 Se 0.000 0.000 0.500 1
Se2 Se 0.000 0.500 0.000 1
Se3 Se 0.500 0.000 0.000 1
Se4 Se 0.500 0.500 0.500 1
# **SG**: Pm-3m, No. 221
# **ΔE to the lowest computed polymorph**: 7 meV per atom
# **Energy relative to the elements, uncorrected**: -12.8 eV/f.u.

(3)
# CrRh | Alexandria via LeMat-Bulk | PBE | relaxed
data_CrRh
_cell_length_a 9.086
_cell_length_b 2.744
_cell_length_c 4.478
_cell_angle_alpha 90.00
_cell_angle_beta 111.33
_cell_angle_gamma 90.00
_symmetry_space_group_name_H-M 'P 1'
_symmetry_Int_Tables_number 1
_symmetry_space_group_name_Hall 'P 1'
loop_
_atom_site_label
_atom_site_type_symbol
_atom_site_fract_x
_atom_site_fract_y
_atom_site_fract_z
_atom_site_occupancy
Cr1 Cr 0.151 0.000 0.343 1
Cr2 Cr 0.349 0.500 0.657 1
Cr3 Cr 0.651 0.500 0.343 1
Cr4 Cr 0.849 0.000 0.657 1
Rh1 Rh 0.108 0.500 0.820 1
Rh2 Rh 0.392 0.000 0.180 1
Rh3 Rh 0.608 0.000 0.820 1
Rh4 Rh 0.892 0.500 0.180 1
# **SG**: C2/m, No. 12
# **Electronic total energy**: -8.5452 eV per atom

(4)
# PdSe2I | Alexandria via LeMat-Bulk | PBE | relaxed
data_PdSe2I
_cell_length_a 9.035
_cell_length_b 9.035
_cell_length_c 6.053
_cell_angle_alpha 90.00
_cell_angle_beta 90.00
_cell_angle_gamma 90.00
_symmetry_space_group_name_H-M 'P 1'
_symmetry_Int_Tables_number 1
_symmetry_space_group_name_Hall 'P 1'
loop_
_atom_site_label
_atom_site_type_symbol
_atom_site_fract_x
_atom_site_fract_y
_atom_site_fract_z
_atom_site_occupancy
Pd1 Pd 0.000 0.500 0.250 1
Pd2 Pd 0.000 0.500 0.750 1
Pd3 Pd 0.500 0.000 0.250 1
Pd4 Pd 0.500 0.000 0.750 1
Se1 Se 0.147 0.353 0.000 1
Se2 Se 0.147 0.647 0.500 1
Se3 Se 0.353 0.147 0.500 1
Se4 Se 0.353 0.853 0.000 1
Se5 Se 0.647 0.147 0.000 1
Se6 Se 0.647 0.853 0.500 1
Se7 Se 0.853 0.353 0.500 1
Se8 Se 0.853 0.647 0.000 1
I1 I 0.000 0.000 0.250 1
I2 I 0.000 0.000 0.750 1
I3 I 0.500 0.500 0.250 1
I4 I 0.500 0.500 0.750 1
# **SG**: I4/mcm, No. 140
# **ΔE to the lowest computed polymorph**: 412 meV per atom
# **Energy relative to the elements, uncorrected**: 0.9 eV/f.u.

(5)
# Sc6CN2O3 | Alexandria via LeMat-Bulk | PBE | relaxed
data_Sc6CN2O3
_cell_length_a 5.540
_cell_length_b 5.540
_cell_length_c 5.548
_cell_angle_alpha 99.56
_cell_angle_beta 99.56
_cell_angle_gamma 120.01
_symmetry_space_group_name_H-M 'P 1'
_symmetry_Int_Tables_number 1
_symmetry_space_group_name_Hall 'P 1'
loop_
_atom_site_label
_atom_site_type_symbol
_atom_site_fract_x
_atom_site_fract_y
_atom_site_fract_z
_atom_site_occupancy
Sc1 Sc 0.080 0.413 0.239 1
Sc2 Sc 0.253 0.253 0.761 1
Sc3 Sc 0.413 0.080 0.239 1
Sc4 Sc 0.587 0.920 0.761 1
Sc5 Sc 0.747 0.747 0.239 1
Sc6 Sc 0.920 0.587 0.761 1
C1 C 0.000 0.000 0.000 1
N1 N 0.333 0.667 0.000 1
N2 N 0.667 0.333 0.000 1
O1 O 0.167 0.833 0.500 1
O2 O 0.500 0.500 0.500 1
O3 O 0.833 0.167 0.500 1
# **SG**: C2/m, No. 12
# **Energy relative to the elements, uncorrected**: -28.1 eV/f.u.

(6)
# Ac2La3PrAs6 | Alexandria via LeMat-Bulk | PBE | relaxed
data_Ac2La3PrAs6
_cell_length_a 9.894
_cell_length_b 9.894
_cell_length_c 8.855
_cell_angle_alpha 102.91
_cell_angle_beta 102.91
_cell_angle_gamma 25.86
_symmetry_space_group_name_H-M 'P 1'
_symmetry_Int_Tables_number 1
_symmetry_space_group_name_Hall 'P 1'
loop_
_atom_site_label
_atom_site_type_symbol
_atom_site_fract_x
_atom_site_fract_y
_atom_site_fract_z
_atom_site_occupancy
Ac1 Ac 0.166 0.166 0.331 1
Ac2 Ac 0.834 0.834 0.669 1
La1 La 0.166 0.166 0.835 1
La2 La 0.500 0.500 0.500 1
La3 La 0.834 0.834 0.165 1
Pr1 Pr 0.500 0.500 0.000 1
As1 As 0.003 0.003 0.753 1
As2 As 0.334 0.334 0.924 1
As3 As 0.336 0.336 0.411 1
As4 As 0.664 0.664 0.589 1
As5 As 0.666 0.666 0.076 1
As6 As 0.997 0.997 0.247 1
# **SG**: C2/m, No. 12
# **Electronic total energy**: -6.1608 eV per atom

(7)
# ScFeMo3 | Alexandria via LeMat-Bulk | PBE | relaxed
data_ScFeMo3
_cell_length_a 4.518
_cell_length_b 4.518
_cell_length_c 4.518
_cell_angle_alpha 90.00
_cell_angle_beta 90.00
_cell_angle_gamma 90.00
_symmetry_space_group_name_H-M 'P 1'
_symmetry_Int_Tables_number 1
_symmetry_space_group_name_Hall 'P 1'
loop_
_atom_site_label
_atom_site_type_symbol
_atom_site_fract_x
_atom_site_fract_y
_atom_site_fract_z
_atom_site_occupancy
Sc1 Sc 0.000 0.000 0.000 1
Fe1 Fe 0.500 0.500 0.500 1
Mo1 Mo 0.000 0.000 0.500 1
Mo2 Mo 0.000 0.500 0.000 1
Mo3 Mo 0.500 0.000 0.000 1
# **SG**: Pm-3m, No. 221
# **ΔE to the lowest computed polymorph**: 1528 meV per atom

(8)
# LiBiF2 | Alexandria via LeMat-Bulk | PBE | relaxed
data_LiBiF2
_cell_length_a 3.349
_cell_length_b 3.349
_cell_length_c 22.616
_cell_angle_alpha 90.00
_cell_angle_beta 90.00
_cell_angle_gamma 120.00
_symmetry_space_group_name_H-M 'P 1'
_symmetry_Int_Tables_number 1
_symmetry_space_group_name_Hall 'P 1'
loop_
_atom_site_label
_atom_site_type_symbol
_atom_site_fract_x
_atom_site_fract_y
_atom_site_fract_z
_atom_site_occupancy
Li1 Li 0.000 0.000 0.000 1
Li2 Li 0.333 0.667 0.667 1
Li3 Li 0.667 0.333 0.333 1
Bi1 Bi 0.000 0.000 0.500 1
Bi2 Bi 0.333 0.667 0.167 1
Bi3 Bi 0.667 0.333 0.833 1
F1 F 0.000 0.000 0.076 1
F2 F 0.000 0.000 0.924 1
F3 F 0.333 0.667 0.591 1
F4 F 0.333 0.667 0.743 1
F5 F 0.667 0.333 0.257 1
F6 F 0.667 0.333 0.409 1
# **SG**: R-3m, No. 166
# **ΔE to the lowest computed polymorph**: 347 meV per atom
# **Energy relative to the elements, uncorrected**: -7.2 eV/f.u.

Number 1: DOS(E_F) 1.624 states/eV/f.u.. Number 2: DOS(E_F) 29.560 states/eV/f.u.. Number 3: DOS(E_F) 1.539 states/eV/f.u.. Number 4: DOS(E_F) 3.817 states/eV/f.u.. Number 5: DOS(E_F) 1.897 states/eV/f.u.. Number 6: DOS(E_F) 1.202 states/eV/f.u.. Number 7: DOS(E_F) 9.770 states/eV/f.u.. Number 8: DOS(E_F) 0.986 states/eV/f.u..